Computed, not measured: Ho8TlCu2 after structural relaxation at the PBE level of DFT.

Properties
ΔH_f (0 K): -0.051 eV/atom
ΔE to the lowest computed polymorph: 0.0844 eV/atom
M_tot: 0.63 μB/f.u.
final energy: -4.341 eV/atom

Cell and atoms, written as CIF:
```
data_Ho8TlCu2
_cell_length_a 8.031
_cell_length_b 8.031
_cell_length_c 5.357
_cell_angle_alpha 98.76
_cell_angle_beta 98.76
_cell_angle_gamma 114.69
_space_group_name_H-M_alt 'P 1'
_space_group_IT_number 1
loop_
_space_group_symop_operation_xyz
'x,y,z'
loop_
_atom_site_label
_atom_site_type_symbol
_atom_site_fract_x
_atom_site_fract_y
_atom_site_fract_z
Ho1 Ho 0.083 0.334 0.589
Ho2 Ho 0.240 0.760 0.000
Ho3 Ho 0.334 0.083 0.589
Ho4 Ho 0.394 0.394 0.196
Ho5 Ho 0.606 0.606 0.804
Ho6 Ho 0.666 0.917 0.411
Ho7 Ho 0.760 0.240 0.000
Ho8 Ho 0.917 0.666 0.411
Tl1 Tl 0.000 0.000 0.000
Cu1 Cu 0.306 0.694 0.500
Cu2 Cu 0.694 0.306 0.500
```